[1]
5
Lattice="4.524 0.000 0.000 0.000 4.524 0.000 0.000 0.000 3.465" Properties=species:S:1:pos:R:3 comment="Hf2NiHPd (GGA-PBE, optimized geometry)" relative_energy_ev_per_fu=0.00 dos_ef_per_ev_cell=5.5 pbc="T T T"
Hf 0.000 2.262 0.000
Hf 2.262 0.000 0.000
Ni 0.000 0.000 1.733
H 0.000 0.000 0.000
Pd 2.262 2.262 1.733

=====

[2]
4
Lattice="1.649 0.952 8.805 -1.649 0.952 8.805 0.000 -1.904 8.805" Properties=species:S:1:pos:R:3 comment="Hf2TaP (GGA-PBE, optimized geometry)" dos_ef_per_ev_cell=1.6 ef_mev_per_atom=3 pbc="T T T"
Hf 0.000 0.000 2.752
Hf 0.000 0.000 23.664
Ta 0.000 0.000 0.000
P 0.000 0.000 13.208